The following is a PBE calculation of an optimized crystal structure of TmAlCoPd, from Alexandria via LeMat-Bulk.

Cell lengths 6.3790, 6.3790, 6.3790 Å; angles 90.00, 90.00, 90.00 degrees
Space group F-43m (No. 216)
Symmetry-distinct sites (fractional):
Tm: 0.0000 0.0000 0.0000 [4 per cell]
Al: 0.0000 0.0000 0.5000 [4 per cell]
Co: 0.2500 0.2500 0.2500 [4 per cell]
Pd: 0.2500 0.2500 0.7500 [4 per cell]

Formation energy (eV per formula unit): -2.27
Total magnetization (μB per atom): 0.036
Crystal system: cubic

***

The following is a PBE calculation of an optimized crystal structure of ZrAlCo2Pd, from Alexandria via LeMat-Bulk.

Cell lengths 4.4762, 4.4762, 4.9249 Å; angles 90.00, 90.00, 90.00 degrees
Space group P4/mmm (No. 123)
Symmetry-distinct sites (fractional):
Zr: 0.0000 0.0000 0.0000 [1 per cell]
Al: 0.5000 0.5000 0.5000 [1 per cell]
Co: 0.0000 0.5000 0.0000 [2 per cell]
Pd: 0.0000 0.0000 0.5000 [1 per cell]

Formation energy (eV per formula unit): 5.52
Total magnetization (μB per atom): 0.000
Crystal system: tetragonal

***

The following is a PBE calculation of an optimized crystal structure of ZrAlCoPd, from Alexandria via LeMat-Bulk.

Cell lengths 6.2887, 6.2887, 6.2887 Å; angles 90.00, 90.00, 90.00 degrees
Space group F-43m (No. 216)
Symmetry-distinct sites (fractional):
Zr: 0.0000 0.0000 0.0000 [4 per cell]
Al: 0.0000 0.0000 0.5000 [4 per cell]
Co: 0.2500 0.2500 0.2500 [4 per cell]
Pd: 0.2500 0.2500 0.7500 [4 per cell]

Formation energy (eV per formula unit): -2.33
Total magnetization (μB per atom): 0.114
Crystal system: cubic

***

The following is a PBE calculation of an optimized crystal structure of PmAlCo4, from Alexandria via LeMat-Bulk.

Cell lengths 7.0019, 7.0019, 7.0019 Å; angles 90.00, 90.00, 90.00 degrees
Space group F-43m (No. 216)
Symmetry-distinct sites (fractional):
Pm: 0.0000 0.0000 0.0000 [4 per cell]
Al: 0.2500 0.2500 0.2500 [4 per cell]
Co: 0.1234 0.1234 0.6234 [16 per cell]

Formation energy (eV per formula unit): -0.79
Total magnetization (μB per atom): 0.733
Crystal system: cubic

***

The following is a PBE calculation of an optimized crystal structure of Pm11Al9Co4, from Alexandria via LeMat-Bulk.

Cell lengths 14.1763, 21.1658, 3.6940 Å; angles 90.00, 90.00, 90.00 degrees
Space group Cmmm (No. 65)
Symmetry-distinct sites (fractional):
Pm: 0.0000 0.0000 0.0000 [2 per cell]
Pm: 0.0000 0.1668 0.0000 [4 per cell]
Pm: 0.0000 0.3758 0.0000 [4 per cell]
Pm: 0.1873 0.5000 0.0000 [4 per cell]
Pm: 0.2437 0.1710 0.0000 [8 per cell]
Al: 0.0000 0.5000 0.5000 [2 per cell]
Al: 0.0991 0.2707 0.5000 [8 per cell]
Al: 0.1547 0.0674 0.5000 [8 per cell]
Co: 0.1573 0.3976 0.5000 [8 per cell]

Formation energy (eV per formula unit): -8.02
Total magnetization (μB per atom): 0.000
Crystal system: orthorhombic

***

The following is a PBE calculation of an optimized crystal structure of Pm2AlCo2, from Alexandria via LeMat-Bulk.

Cell lengths 9.5306, 5.5604, 7.6309 Å; angles 90.00, 103.68, 90.00 degrees
Space group C2/c (No. 15)
Symmetry-distinct sites (fractional):
Pm: 0.1458 0.1449 0.1459 [8 per cell]
Al: 0.0000 0.3809 0.7500 [4 per cell]
Co: 0.1430 0.3565 0.5054 [8 per cell]

Formation energy (eV per formula unit): -1.46
Total magnetization (μB per atom): 0.000
Excess energy over the best structure of this formula in the dataset (meV/atom): 0
Crystal system: monoclinic

***

The following is a PBE calculation of an optimized crystal structure of Pm2AlCo, from Alexandria via LeMat-Bulk.

Cell lengths 3.5435, 3.5435, 7.3485 Å; angles 90.00, 90.00, 90.00 degrees
Space group P4/mmm (No. 123)
Symmetry-distinct sites (fractional):
Pm: 0.0000 0.0000 0.2278 [2 per cell]
Al: 0.5000 0.5000 0.5000 [1 per cell]
Co: 0.5000 0.5000 0.0000 [1 per cell]

Formation energy (eV per formula unit): -0.65
Total magnetization (μB per atom): 0.165
Crystal system: tetragonal

***

The following is a PBE calculation of an optimized crystal structure of PmAl11Co, from Alexandria via LeMat-Bulk.

Cell lengths 5.1374, 12.5655, 7.2024 Å; angles 90.00, 108.59, 90.00 degrees
Space group C2/m (No. 12)
Symmetry-distinct sites (fractional):
Pm: 0.0000 0.0000 0.0000 [2 per cell]
Al: 0.0000 0.0000 0.5000 [2 per cell]
Al: 0.1088 0.3919 0.2341 [8 per cell]
Al: 0.1900 0.1729 0.3618 [8 per cell]
Al: 0.2500 0.2500 0.0000 [4 per cell]
Co: 0.0000 0.5000 0.5000 [2 per cell]

Formation energy (eV per formula unit): -2.77
Total magnetization (μB per atom): 0.000
Crystal system: monoclinic

***

The following is a PBE calculation of an optimized crystal structure of Pm2Al9Co3, from Alexandria via LeMat-Bulk.

Cell lengths 12.9821, 7.4255, 10.4250 Å; angles 90.00, 114.72, 90.00 degrees
Space group C2/c (No. 15)
Symmetry-distinct sites (fractional):
Pm: 0.1698 0.0831 0.2497 [8 per cell]
Al: 0.0000 0.3666 0.2500 [4 per cell]
Al: 0.0605 0.0821 0.9305 [8 per cell]
Al: 0.0975 0.4148 0.0435 [8 per cell]
Al: 0.1046 0.3145 0.7474 [8 per cell]
Al: 0.2262 0.4172 0.4334 [8 per cell]
Co: 0.0853 0.2447 0.5013 [8 per cell]
Co: 0.2500 0.2500 0.0000 [4 per cell]

Formation energy (eV per formula unit): -7.50
Total magnetization (μB per atom): 0.000
Crystal system: monoclinic

***

The following is a PBE calculation of an optimized crystal structure of Pm2AlCo, from Alexandria via LeMat-Bulk.

Cell lengths 4.2296, 8.0297, 5.7327 Å; angles 90.00, 90.00, 90.00 degrees
Space group Imm2 (No. 44)
Symmetry-distinct sites (fractional):
Pm: 0.0000 0.2144 0.0000 [4 per cell]
Al: 0.0000 0.0000 0.5289 [2 per cell]
Co: 0.0000 0.5000 0.2839 [2 per cell]

Formation energy (eV per formula unit): -0.55
Total magnetization (μB per atom): 0.000
Crystal system: orthorhombic

***

The following is a PBE calculation of an optimized crystal structure of Pm6AlCo2, from Alexandria via LeMat-Bulk.

Cell lengths 9.5056, 9.8382, 10.1793 Å; angles 90.00, 90.00, 90.00 degrees
Space group Immm (No. 71)
Symmetry-distinct sites (fractional):
Pm: 0.0000 0.1974 0.2375 [8 per cell]
Pm: 0.1864 0.5000 0.1758 [8 per cell]
Pm: 0.2170 0.3181 0.5000 [8 per cell]
Al: 0.0000 0.0000 0.0000 [2 per cell]
Al: 0.0000 0.0000 0.5000 [2 per cell]
Co: 0.0000 0.3248 0.0000 [4 per cell]
Co: 0.0000 0.5000 0.3879 [4 per cell]

Formation energy (eV per formula unit): -1.45
Total magnetization (μB per atom): 0.000
Crystal system: orthorhombic

***

The following is a PBE calculation of an optimized crystal structure of PmAl2Co, from Alexandria via LeMat-Bulk.

Cell lengths 4.0836, 10.3139, 7.0688 Å; angles 90.00, 90.00, 90.00 degrees
Space group Cmcm (No. 63)
Symmetry-distinct sites (fractional):
Pm: 0.0000 0.0557 0.2500 [4 per cell]
Al: 0.0000 0.3329 0.0570 [8 per cell]
Co: 0.0000 0.2149 0.7500 [4 per cell]

Formation energy (eV per formula unit): -1.96
Total magnetization (μB per atom): 0.000
Excess energy over the best structure of this formula in the dataset (meV/atom): 0
Crystal system: orthorhombic

***

The following is a PBE calculation of an optimized crystal structure of PmAl2Co, from Alexandria via LeMat-Bulk.

Cell lengths 3.0795, 3.0795, 7.4391 Å; angles 90.00, 90.00, 90.00 degrees
Space group P4/mmm (No. 123)
Symmetry-distinct sites (fractional):
Pm: 0.0000 0.0000 0.0000 [1 per cell]
Al: 0.5000 0.5000 0.3215 [2 per cell]
Co: 0.0000 0.0000 0.5000 [1 per cell]

Formation energy (eV per formula unit): -1.32
Total magnetization (μB per atom): 0.201
Excess energy over the best structure of this formula in the dataset (meV/atom): 159
Crystal system: tetragonal

***

The following is a PBE calculation of an optimized crystal structure of Pm3Al5Co2, from Alexandria via LeMat-Bulk.

Cell lengths 9.8913, 9.8913, 4.0344 Å; angles 90.00, 90.00, 90.00 degrees
Space group P4/mbm (No. 127)
Symmetry-distinct sites (fractional):
Pm: 0.0000 0.0000 0.0000 [2 per cell]
Pm: 0.1786 0.3214 0.0000 [4 per cell]
Al: 0.0000 0.5000 0.5000 [2 per cell]
Al: 0.0676 0.7643 0.5000 [8 per cell]
Co: 0.1124 0.6124 0.0000 [4 per cell]

Formation energy (eV per formula unit): -4.60
Total magnetization (μB per atom): 0.000
Crystal system: tetragonal

***

The following is a PBE calculation of an optimized crystal structure of PmAl5Co2, from Alexandria via LeMat-Bulk.

Cell lengths 3.9722, 7.0302, 9.5908 Å; angles 90.00, 90.00, 90.00 degrees
Space group Immm (No. 71)
Symmetry-distinct sites (fractional):
Pm: 0.0000 0.0000 0.0000 [2 per cell]
Al: 0.0000 0.1899 0.3381 [8 per cell]
Al: 0.0000 0.5000 0.0000 [2 per cell]
Co: 0.0000 0.5000 0.2373 [4 per cell]

Formation energy (eV per formula unit): -4.02
Total magnetization (μB per atom): 0.000
Crystal system: orthorhombic

***

The following is a PBE calculation of an optimized crystal structure of Pm2AlCo2, from Alexandria via LeMat-Bulk.

Cell lengths 4.0371, 5.5554, 8.7316 Å; angles 90.00, 90.00, 90.00 degrees
Space group Immm (No. 71)
Symmetry-distinct sites (fractional):
Pm: 0.0000 0.0000 0.2013 [4 per cell]
Al: 0.0000 0.5000 0.0000 [2 per cell]
Co: 0.0000 0.2749 0.5000 [4 per cell]

Formation energy (eV per formula unit): -1.43
Total magnetization (μB per atom): 0.000
Excess energy over the best structure of this formula in the dataset (meV/atom): 6
Crystal system: orthorhombic

***

The following is a PBE calculation of an optimized crystal structure of PmAl2Co, from Alexandria via LeMat-Bulk.

Cell lengths 4.1082, 4.1082, 16.0235 Å; angles 90.00, 90.00, 120.00 degrees
Space group R-3m (No. 166, hexagonal axes)
Symmetry-distinct sites (fractional):
Pm: 0.0000 0.0000 0.0000 [3 per cell]
Al: 0.0000 0.0000 0.2045 [6 per cell]
Co: 0.0000 0.0000 0.5000 [3 per cell]

Formation energy (eV per formula unit): -1.62
Total magnetization (μB per atom): 0.000
Excess energy over the best structure of this formula in the dataset (meV/atom): 84
Crystal system: trigonal

***

The following is a PBE calculation of an optimized crystal structure of PmAl2Co, from Alexandria via LeMat-Bulk.

Cell lengths 14.8763, 7.0108, 5.6689 Å; angles 90.00, 90.00, 90.00 degrees
Space group Pnma (No. 62)
Symmetry-distinct sites (fractional):
Pm: 0.0999 0.2500 0.2221 [4 per cell]
Pm: 0.1339 0.7500 0.0273 [4 per cell]
Al: 0.0472 0.0614 0.7035 [8 per cell]
Al: 0.2105 0.5527 0.5361 [8 per cell]
Co: 0.0719 0.7500 0.5053 [4 per cell]
Co: 0.1917 0.2500 0.7690 [4 per cell]

Formation energy (eV per formula unit): -1.94
Total magnetization (μB per atom): 0.000
Excess energy over the best structure of this formula in the dataset (meV/atom): 4
Crystal system: orthorhombic

***

The following is a PBE calculation of an optimized crystal structure of Pm4AlCo, from Alexandria via LeMat-Bulk.

Cell lengths 13.6449, 13.6449, 13.6449 Å; angles 90.00, 90.00, 90.00 degrees
Space group F-43m (No. 216)
Symmetry-distinct sites (fractional):
Pm: 0.0000 0.0000 0.1878 [24 per cell]
Pm: 0.0568 0.2500 0.2500 [24 per cell]
Pm: 0.0989 0.0989 0.5989 [16 per cell]
Al: 0.1753 0.1753 0.8247 [16 per cell]
Co: 0.1094 0.1094 0.3906 [16 per cell]

Formation energy (eV per formula unit): -1.23
Total magnetization (μB per atom): 0.000
Crystal system: cubic

***

The following is a PBE calculation of an optimized crystal structure of Pm3Al2Co7, from Alexandria via LeMat-Bulk.

Cell lengths 5.2337, 5.2337, 23.5587 Å; angles 90.00, 90.00, 120.00 degrees
Space group R-3m (No. 166, hexagonal axes)
Symmetry-distinct sites (fractional):
Pm: 0.0000 0.0000 0.0000 [3 per cell]
Pm: 0.0000 0.0000 0.1404 [6 per cell]
Al: 0.0000 0.0000 0.3323 [6 per cell]
Co: 0.0000 0.0000 0.5000 [3 per cell]
Co: 0.0064 0.5032 0.0824 [18 per cell]

Formation energy (eV per formula unit): -2.78
Total magnetization (μB per atom): 0.346
Crystal system: trigonal